No. 1
Density functional theory data (PBE) for CsZn2Ag2Br7 after structural relaxation. Values from VASP.

```
&SYSTEM
  ibrav = 0, nat = 12, ntyp = 4
/
ATOMIC_SPECIES
Cs 132.91 Cs.upf
Zn 65.41 Zn.upf
Ag 107.87 Ag.upf
Br 79.90 Br.upf
CELL_PARAMETERS angstrom
3.686 2.128 11.862
-3.686 2.128 11.862
0.000 -4.256 11.862
ATOMIC_POSITIONS crystal
Cs 0.000 0.000 0.000
Zn 0.431 0.431 0.431
Zn 0.569 0.569 0.569
Ag 0.251 0.251 0.251
Ag 0.749 0.749 0.749
Br 0.104 0.393 0.731
Br 0.269 0.607 0.896
Br 0.393 0.731 0.104
Br 0.500 0.500 0.500
Br 0.607 0.896 0.269
Br 0.731 0.104 0.393
Br 0.896 0.269 0.607
```

## Properties
- ΔE_f (raw) (eV/atom) = -0.8227
- symmetry = R32
- Fermi-level density of states (states/eV/cell) = 0.00


No. 2
Density functional theory data (PBE) for Tb4NdSn4 after structural relaxation. Values from VASP.

```
&SYSTEM
  ibrav = 0, nat = 18, ntyp = 3
/
ATOMIC_SPECIES
Tb 158.93 Tb.upf
Nd 144.24 Nd.upf
Sn 118.71 Sn.upf
CELL_PARAMETERS angstrom
9.900 0.000 0.000
0.000 9.900 0.000
0.000 0.000 6.166
ATOMIC_POSITIONS crystal
Tb 0.093 0.649 0.140
Tb 0.149 0.907 0.640
Tb 0.351 0.593 0.640
Tb 0.407 0.851 0.140
Tb 0.593 0.149 0.860
Tb 0.649 0.407 0.360
Tb 0.851 0.093 0.360
Tb 0.907 0.351 0.860
Nd 0.250 0.250 0.250
Nd 0.750 0.750 0.750
Sn 0.035 0.614 0.649
Sn 0.114 0.965 0.149
Sn 0.386 0.535 0.149
Sn 0.465 0.886 0.649
Sn 0.535 0.114 0.351
Sn 0.614 0.465 0.851
Sn 0.886 0.035 0.851
Sn 0.965 0.386 0.351
```

## Properties
- symmetry = P4_2/n
- formation energy (eV/atom) = -0.440
- Fermi-level density of states (states/eV/cell) = 18.44


No. 3
Density functional theory data (PBE) for Y2Sn2Se after structural relaxation. Values from VASP.

```
&SYSTEM
  ibrav = 0, nat = 10, ntyp = 3
/
ATOMIC_SPECIES
Y 88.91 Y.upf
Sn 118.71 Sn.upf
Se 78.96 Se.upf
CELL_PARAMETERS angstrom
7.717 0.000 0.000
0.000 7.717 0.000
0.000 0.000 4.652
ATOMIC_POSITIONS crystal
Y 0.176 0.324 0.000
Y 0.324 0.824 0.000
Y 0.676 0.176 0.000
Y 0.824 0.676 0.000
Sn 0.130 0.630 0.500
Sn 0.370 0.130 0.500
Sn 0.630 0.870 0.500
Sn 0.870 0.370 0.500
Se 0.000 0.000 0.000
Se 0.500 0.500 0.000
```

## Properties
- ΔE_f (raw) (eV/atom) = -0.9376
- symmetry = P4/mbm
- Fermi-level density of states (states/eV/cell) = 2.98


No. 4
Density functional theory data (PBE) for SrSbPd2 after structural relaxation. Values from VASP.

```
&SYSTEM
  ibrav = 0, nat = 16, ntyp = 3
/
ATOMIC_SPECIES
Sr 87.62 Sr.upf
Sb 121.76 Sb.upf
Pd 106.42 Pd.upf
CELL_PARAMETERS angstrom
5.140 0.000 0.000
0.000 5.140 0.000
0.000 0.000 17.819
ATOMIC_POSITIONS crystal
Sr 0.000 0.000 0.000
Sr 0.000 0.500 0.250
Sr 0.500 0.000 0.750
Sr 0.500 0.500 0.500
Sb 0.000 0.000 0.500
Sb 0.000 0.500 0.750
Sb 0.500 0.000 0.250
Sb 0.500 0.500 0.000
Pd 0.049 0.250 0.625
Pd 0.250 0.549 0.875
Pd 0.250 0.951 0.375
Pd 0.451 0.250 0.125
Pd 0.549 0.750 0.125
Pd 0.750 0.049 0.375
Pd 0.750 0.451 0.875
Pd 0.951 0.750 0.625
```

## Properties
- ΔE_f (raw) (eV/atom) = -0.5299
- symmetry = I-42d
- Fermi-level density of states (states/eV/cell) = 5.99


No. 5
Density functional theory data (PBE) for Cu3Ni2Pt3 after structural relaxation. Values from VASP.

```
&SYSTEM
  ibrav = 0, nat = 8, ntyp = 3
/
ATOMIC_SPECIES
Cu 63.55 Cu.upf
Ni 58.69 Ni.upf
Pt 195.08 Pt.upf
CELL_PARAMETERS angstrom
3.454 1.994 2.663
-3.454 1.994 2.663
0.000 -3.988 2.663
ATOMIC_POSITIONS crystal
Cu 0.000 0.288 0.712
Cu 0.288 0.712 0.000
Cu 0.712 0.000 0.288
Ni 0.264 0.264 0.264
Ni 0.736 0.736 0.736
Pt 0.212 0.788 0.500
Pt 0.500 0.212 0.788
Pt 0.788 0.500 0.212
```

## Properties
- symmetry = R32
- formation energy (eV/atom) = 0.032
- Fermi-level density of states (states/eV/cell) = 10.84
- relative energy among the computed polymorphs (meV per atom) = 123.5


No. 6
Density functional theory data (PBE) for AlVCo after structural relaxation. Values from VASP.

```
&SYSTEM
  ibrav = 0, nat = 12, ntyp = 3
/
ATOMIC_SPECIES
Al 26.98 Al.upf
V 50.94 V.upf
Co 58.93 Co.upf
CELL_PARAMETERS angstrom
8.087 0.000 0.000
0.000 2.423 3.988
0.000 -2.423 3.988
ATOMIC_POSITIONS crystal
Al 0.178 0.000 0.000
Al 0.295 0.333 0.333
Al 0.705 0.333 0.333
Al 0.822 0.000 0.000
V 0.000 0.512 0.512
V 0.500 0.328 0.844
V 0.500 0.841 0.841
V 0.500 0.844 0.328
Co 0.000 0.026 0.512
Co 0.000 0.512 0.026
Co 0.245 0.665 0.665
Co 0.755 0.665 0.665
```

## Properties
- symmetry = Amm2
- formation energy (eV/atom) = -0.132
- Fermi-level density of states (states/eV/cell) = 10.23
- relative energy among the computed polymorphs (meV per atom) = 281.9


No. 7
Density functional theory data (PBE) for CsRbSn12 after structural relaxation. Values from VASP.

```
&SYSTEM
  ibrav = 0, nat = 14, ntyp = 3
/
ATOMIC_SPECIES
Cs 132.91 Cs.upf
Rb 85.47 Rb.upf
Sn 118.71 Sn.upf
CELL_PARAMETERS angstrom
7.393 0.000 0.000
0.000 7.393 0.000
0.000 0.000 14.331
ATOMIC_POSITIONS crystal
Cs 0.000 0.000 0.000
Rb 0.000 0.000 0.500
Sn 0.197 0.500 0.250
Sn 0.197 0.500 0.750
Sn 0.500 0.197 0.250
Sn 0.500 0.197 0.750
Sn 0.500 0.500 0.102
Sn 0.500 0.500 0.398
Sn 0.500 0.500 0.602
Sn 0.500 0.500 0.898
Sn 0.500 0.803 0.250
Sn 0.500 0.803 0.750
Sn 0.803 0.500 0.250
Sn 0.803 0.500 0.750
```

## Properties
- symmetry = P4/mmm
- formation energy (eV/atom) = 0.219
- Fermi-level density of states (states/eV/cell) = 7.43


No. 8
Density functional theory data (PBE) for RbLaNO2 after structural relaxation. Values from VASP.

```
&SYSTEM
  ibrav = 0, nat = 5, ntyp = 4
/
ATOMIC_SPECIES
Rb 85.47 Rb.upf
La 138.91 La.upf
N 14.01 N.upf
O 16.00 O.upf
CELL_PARAMETERS angstrom
4.294 0.000 0.000
0.000 4.294 0.000
0.000 0.000 4.516
ATOMIC_POSITIONS crystal
Rb 0.000 0.000 0.000
La 0.500 0.500 0.500
N 0.000 0.000 0.500
O 0.000 0.500 0.000
O 0.500 0.000 0.000
```

## Properties
- ΔE_f (raw) (eV/atom) = 0.1849
- symmetry = P4/mmm
- Fermi-level density of states (states/eV/cell) = 4.94